1.
## Na2NbAu (GGA-PBEsol)

Data for Na2NbAu after structural relaxation.

abc: 5.3315 6.4441 6.4441
angles: 80.15 65.56 65.56
Site moments in Bohr magnetons follow the coordinates.
Sites, in units of the cell vectors:
Na: 0.0878 0.0372 0.5372  0.01
Na: 0.6622 0.9628 0.4628  0.01
Na: 0.3750 0.5372 0.9628  0.01
Na: 0.8750 0.4628 0.0372  0.01
Nb: 0.2500 0.5000 0.5000  1.50
Nb: 0.5000 0.0000 0.0000  1.50
Au: 0.7500 0.5000 0.5000  0.03
Au: 0.0000 0.0000 0.0000  0.03

- DOS at the Fermi energy (states/eV/f.u.) = 3.40
- calculated formation energy (kJ/mol of formula units) = 345
- DFT total energy (eV per atom) = -3.49

---

2.
## Ba2ZrAg (GGA-PBEsol)

Data for Ba2ZrAg after structural relaxation.

abc: 4.8070 4.8070 6.3963
angles: 112.07 112.07 90.00
Site moments in Bohr magnetons follow the coordinates.
Sites, in units of the cell vectors:
Ag: 0.2500 0.7500 0.5000  0.02
Ba: 0.0000 0.0000 0.0000  0.11
Ba: 0.7500 0.2500 0.5000  0.09
Zr: 0.5000 0.5000 0.0000  0.82

- DOS at the Fermi energy (states/eV/f.u.) = 5.80
- calculated formation energy (kJ/mol of formula units) = 216
- DFT total energy (eV per atom) = -3.62

---

3.
## BeNi2H (GGA-PBEsol)

Data for BeNi2H after structural relaxation.

abc: 3.5332 3.5332 3.5332
angles: 60.00 60.00 60.00
Sites, in units of the cell vectors:
Ni: 0.2500 0.2500 0.2500
Ni: 0.7500 0.7500 0.7500
H: 0.0000 0.0000 0.0000
Be: 0.5000 0.5000 0.5000

- DOS at the Fermi energy (states/eV/f.u.) = 1.27
- DFT total energy (eV per atom) = -4.82

---

4.
## Sc4SbPb (GGA-PBEsol)

Data for Sc4SbPb after structural relaxation.

abc: 5.8100 5.8100 5.8100
angles: 60.00 60.00 60.00
Sites, in units of the cell vectors:
Pb: 0.7500 0.7500 0.7500
Sb: 0.0000 0.0000 0.0000
Sc: 0.3750 0.3750 0.3750
Sc: 0.3750 0.3750 0.8751
Sc: 0.8751 0.3750 0.3750
Sc: 0.3750 0.8751 0.3750

- DOS at the Fermi energy (states/eV/f.u.) = 7.33
- formation energy (no corrections) (eV per formula unit) = -0.559
- DFT total energy (eV per atom) = -5.92

---

- Which of these has the lowest DOS at the Fermi energy?
  BeNi2H

---

- DOS at the Fermi energy of number 1 (Na2NbAu)?
  3.40 states/eV/f.u.